No. 1
This record from Alexandria via LeMat-Bulk describes a relaxed Li2InHg2Bi2 crystal. The functional is GGA-PBE.

Calculated values
Energy relative to the elements   -1.21 eV per formula unit
Total DFT energy (no corrections)   -16.1 eV per cell

Geometry as POSCAR:
```
Li2InHg2Bi2
1.0
2.560 1.478 7.944
-2.560 1.478 7.944
0.000 -2.957 7.944
Li In Hg Bi
2 1 2 2
direct
0.133 0.133 0.133
0.867 0.867 0.867
0.000 0.000 0.000
0.437 0.437 0.437
0.563 0.563 0.563
0.264 0.264 0.264
0.736 0.736 0.736
```

---

No. 2
This record from Alexandria via LeMat-Bulk describes a relaxed ErTl2Cl5 crystal. The functional is GGA-PBE.

Calculated values
Formation energy (no corrections)   -1674 meV/atom
Total DFT energy (no corrections)   -127.7 eV per cell

Geometry as POSCAR:
```
ErTl2Cl5
1.0
12.974 0.000 0.000
0.000 8.563 0.000
0.000 0.000 8.350
Er Tl Cl
4 8 20
direct
0.005 0.250 0.071
0.495 0.750 0.571
0.505 0.250 0.429
0.995 0.750 0.929
0.168 0.010 0.580
0.168 0.490 0.580
0.332 0.510 0.080
0.332 0.990 0.080
0.668 0.010 0.920
0.668 0.490 0.920
0.832 0.510 0.420
0.832 0.990 0.420
0.010 0.250 0.398
0.059 0.547 0.164
0.059 0.953 0.164
0.184 0.250 0.918
0.194 0.750 0.859
0.306 0.250 0.359
0.316 0.750 0.418
0.441 0.047 0.664
0.441 0.453 0.664
0.490 0.750 0.898
0.510 0.250 0.102
0.559 0.547 0.336
0.559 0.953 0.336
0.684 0.250 0.582
0.694 0.750 0.641
0.806 0.250 0.141
0.816 0.750 0.082
0.941 0.047 0.836
0.941 0.453 0.836
0.990 0.750 0.602
```

---

No. 3
This record from Alexandria via LeMat-Bulk describes a relaxed YErCo2 crystal. The functional is GGA-PBE.

Calculated values
E above lowest polymorph   62.7 meV per atom
Energy relative to the elements   -0.62 eV per formula unit
Total DFT energy (no corrections)   -25.9 eV per cell

Geometry as POSCAR:
```
YErCo2
1.0
0.000 3.329 3.329
3.329 0.000 3.329
3.329 3.329 0.000
Y Er Co
1 1 2
direct
0.000 0.000 0.000
0.500 0.500 0.500
0.250 0.250 0.250
0.750 0.750 0.750
```

---

No. 4
This record from Alexandria via LeMat-Bulk describes a relaxed Na3Li3MgCl8 crystal. The functional is GGA-PBE.

Calculated values
Formation energy (no corrections)   -1812 meV/atom
Total DFT energy (no corrections)   -53.3 eV per cell

Geometry as POSCAR:
```
Na3Li3MgCl8
1.0
3.768 2.175 6.460
-3.768 2.175 6.460
0.000 -4.351 6.460
Na Li Mg Cl
3 3 1 8
direct
0.000 0.500 0.500
0.500 0.000 0.500
0.500 0.500 0.000
0.000 0.000 0.500
0.000 0.500 0.000
0.500 0.000 0.000
0.500 0.500 0.500
0.242 0.242 0.242
0.251 0.734 0.734
0.266 0.266 0.749
0.266 0.749 0.266
0.734 0.251 0.734
0.734 0.734 0.251
0.749 0.266 0.266
0.758 0.758 0.758
```

---

No. 5
This record from Alexandria via LeMat-Bulk describes a relaxed PrCu4Rh crystal. The functional is GGA-PBE.

Calculated values
Energy relative to the elements   -1.09 eV per formula unit
Total DFT energy (no corrections)   -29.6 eV per cell

Geometry as POSCAR:
```
PrCu4Rh
1.0
0.000 3.584 3.584
3.584 0.000 3.584
3.584 3.584 0.000
Pr Cu Rh
1 4 1
direct
0.000 0.000 0.000
0.130 0.623 0.623
0.623 0.130 0.623
0.623 0.623 0.130
0.623 0.623 0.623
0.250 0.250 0.250
```

---

No. 6
This record from Alexandria via LeMat-Bulk describes a relaxed ZrScSeS crystal. The functional is GGA-PBE.

Calculated values
Formation energy (no corrections)   -1545 meV/atom
Total DFT energy (no corrections)   -28.7 eV per cell

Geometry as POSCAR:
```
ZrScSeS
1.0
1.829 1.056 6.596
-1.829 1.056 6.596
0.000 -2.112 6.596
Zr Sc Se S
1 1 1 1
direct
0.000 0.000 0.000
0.816 0.816 0.816
0.239 0.239 0.239
0.410 0.410 0.410
```